! CaFeCu | Alexandria via LeMat-Bulk | SCAN | single point on PBEsol structure; values from VASP
! - Formation energy from the elements: 686 meV/atom
! - Raw total energy: -40.9 eV/f.u.
! - Space group: F-43m (216)
! - Crystal system: cubic
&SYSTEM
  ibrav = 0, nat = 3, ntyp = 3
/
ATOMIC_SPECIES
Fe 55.84 Fe.upf
Ca 40.08 Ca.upf
Cu 63.55 Cu.upf
ATOMIC_POSITIONS crystal
Fe 0.7500 0.7500 0.7500
Ca 0.0000 0.0000 0.0000
Cu 0.5000 0.5000 0.5000
CELL_PARAMETERS angstrom
4.3300 0.0000 0.0000
2.1650 3.7499 0.0000
2.1650 1.2500 3.5354



! ReOs3 | Alexandria via LeMat-Bulk | SCAN | single point on PBEsol structure; values from VASP
! - Formation energy from the elements: -93 meV/atom
! - Relative energy among the computed polymorphs: 0 kJ/mol of formula units
! - Raw total energy: -287.1 eV/f.u.
! - Space group: Pmmn (59)
! - Crystal system: orthorhombic
&SYSTEM
  ibrav = 0, nat = 8, ntyp = 2
/
ATOMIC_SPECIES
Os 190.23 Os.upf
Re 186.21 Re.upf
ATOMIC_POSITIONS crystal
Os 0.5000 0.3333 0.0000
Os 0.0000 0.1670 0.7495
Os 0.0000 0.6667 0.5000
Os 0.5000 0.8330 0.2495
Os 0.5000 0.8330 0.7505
Os 0.0000 0.1670 0.2505
Re 0.0000 0.6666 0.0000
Re 0.5000 0.3334 0.5000
CELL_PARAMETERS angstrom
-0.9872 -4.2022 -0.2608
4.6164 -1.0673 -0.2782
0.2377 -0.3946 5.4583